## KVSe2 (PBE)

Data for a geometry-optimized KVSe2 structure.

Computed properties:
Formation energy from raw total energies in eV per atom: -0.825
D(E_F) in states/eV/atom: 0.399
Spin magnetization in μB/cell: 3.03
Uncorrected energy in eV per atom: -5.12
Crystal system: monoclinic

The structure in CIF format:
```
data_KVSe2
_space_group_name_H-M_alt 'C 1 2/m 1'
_space_group_IT_number 12
_cell_length_a 13.5069
_cell_length_b 3.9969
_cell_length_c 9.1827
_cell_angle_alpha 90.00
_cell_angle_beta 112.83
_cell_angle_gamma 90.00
loop_
_space_group_symop_operation_xyz
'x,y,z'
'-x,-y,-z'
'-x,y,-z'
'x,-y,z'
'x+1/2,y+1/2,z'
'-x+1/2,-y+1/2,-z'
'-x+1/2,y+1/2,-z'
'x+1/2,-y+1/2,z'
loop_
_atom_site_label
_atom_site_fract_x
_atom_site_fract_y
_atom_site_fract_z
K1 0.0427 0.0000 0.3067
V1 0.2479 0.5000 0.8886
Se1 0.1381 0.5000 0.0464
Se2 0.1504 0.5000 0.6247
```